The following is a meta-GGA SCAN calculation of a crystal of YCr2Fe2 relaxed with PBEsol, from Alexandria via LeMat-Bulk.

Computed properties:
* calculated formation energy: 157 meV per atom
* magnetization: 0.73 μB per formula unit

abc: 3.8931 3.8931 9.3837
angles: 90.00 90.00 90.00
Space group I4/mmm (No. 139)
Symmetry-distinct sites (fractional):
Y1 0.0000 0.0000 0.0000 x2
Cr1 0.0000 0.5000 0.2500 x4
Fe1 0.0000 0.0000 0.3697 x4